A relaxed NbSi2I crystal, computed with GGA-PBE.

Lattice parameters (Å, degrees): 4.730 4.730 4.730 60.00 60.00 60.00
Positions (direct):
1 Nb 0.000 0.000 0.000
2 Si 0.250 0.250 0.250
3 Si 0.750 0.750 0.750
4 I 0.500 0.500 0.500

## Properties
The calculation puts the energy relative to the elements, uncorrected at 929 meV/atom. The value obtained for the total magnetic moment is 0.00 Bohr magnetons per cell. The value obtained for the calculated total energy is -4.69 eV/atom. The calculation puts the energy relative to the lowest polymorph listed for this composition at 0.020 eV/atom.